No. 1
The following is a PBE calculation of a relaxed structure of Mn6As4N, from Alexandria via LeMat-Bulk.

Output
space-group type	P4/mnc, No. 128
D(E_F)	0.5221	states/eV/atom
DFT total energy	-163.501	eV for the cell shown

Cell: 6.0925 6.0925 8.4515 Å, 90.00 90.00 90.00°
With the nearest neighbours (Å) after each atom.
Fractional positions:
1 Mn 0.3133 0.8432 0.5000  1 N 2.13
2 Mn 0.8133 0.6568 0.0000  1 N 2.13
3 Mn 0.6568 0.1867 0.0000  1 N 2.13
4 Mn 0.1568 0.3133 0.5000  1 N 2.13
5 Mn 0.0000 0.0000 0.2830  1 N 1.83
6 Mn 0.5000 0.5000 0.2170  1 N 1.83
7 Mn 0.3432 0.8133 0.0000  1 N 2.13
8 Mn 0.0000 0.0000 0.7170  1 N 1.83
9 Mn 0.1867 0.3432 0.0000  1 N 2.13
10 Mn 0.5000 0.5000 0.7830  1 N 1.83
11 Mn 0.8432 0.6867 0.5000  1 N 2.13
12 Mn 0.6867 0.1568 0.5000  1 N 2.13
13 As 0.3546 0.1454 0.2500  2 Mn 2.35, 1 As 2.51
14 As 0.1454 0.6454 0.7500  2 Mn 2.35, 1 As 2.51
15 As 0.6454 0.8546 0.7500  2 Mn 2.35, 1 As 2.51
16 As 0.8546 0.3546 0.7500  2 Mn 2.35, 1 As 2.51
17 As 0.3546 0.1454 0.7500  2 Mn 2.35, 1 As 2.51
18 As 0.1454 0.6454 0.2500  2 Mn 2.35, 1 As 2.51
19 As 0.8546 0.3546 0.2500  2 Mn 2.35, 1 As 2.51
20 As 0.6454 0.8546 0.2500  2 Mn 2.35, 1 As 2.51
21 N 0.5000 0.5000 0.0000  2 Mn 1.83
22 N 0.0000 0.0000 0.5000  2 Mn 1.83

=====

No. 2
The following is a PBE calculation of a relaxed structure of MoC3Se, from Alexandria via LeMat-Bulk.

Output
excess energy over the best structure of this formula in the dataset	0.0	meV/atom
space-group type	Pm-3m, No. 221
D(E_F)	0.9698	states/eV/atom

Cell: 4.1515 4.1515 4.1515 Å, 90.00 90.00 90.00°
With the nearest neighbours (Å) after each atom.
Fractional positions:
1 Mo 0.0000 0.0000 0.0000  6 C 2.08
2 C 0.0000 0.5000 0.0000  2 Mo 2.08
3 C 0.0000 0.0000 0.5000  2 Mo 2.08
4 C 0.5000 0.0000 0.0000  2 Mo 2.08
5 Se 0.5000 0.5000 0.5000  12 C 2.94

=====

No. 3
The following is a PBE calculation of a relaxed structure of OsPt3, from Alexandria via LeMat-Bulk.

Output
space-group type	Pmmn, No. 59
D(E_F)	1.4751	states/eV/atom
E_form	185	meV/atom

Cell: 4.6252 4.7949 5.5376 Å, 90.00 90.00 90.00°
With the nearest neighbours (Å) after each atom.
Fractional positions:
1 Os 0.0000 0.3325 0.0000  12 Pt 2.75-2.82
2 Os 0.5000 0.6675 0.5000  12 Pt 2.75-2.82
3 Pt 0.5000 0.6501 0.0000  8 Pt 2.72-2.83, 4 Os 2.77
4 Pt 0.0000 0.8363 0.2481  8 Pt 2.72-2.83, 4 Os 2.75-2.82
5 Pt 0.5000 0.1637 0.2519  8 Pt 2.72-2.83, 4 Os 2.75-2.82
6 Pt 0.0000 0.3499 0.5000  8 Pt 2.72-2.83, 4 Os 2.77
7 Pt 0.0000 0.8363 0.7519  8 Pt 2.72-2.83, 4 Os 2.75-2.82
8 Pt 0.5000 0.1637 0.7481  8 Pt 2.72-2.83, 4 Os 2.75-2.82

=====

No. 4
The following is a PBE calculation of a relaxed structure of Zr2NbZn2Rh5, from Alexandria via LeMat-Bulk.

Output
space-group type	P4/mbm, No. 127
D(E_F)	0.4126	states/eV/atom
E_form	-536	meV/atom

Cell: 3.6516 9.4225 9.4225 Å, 90.00 90.00 90.00°
With the nearest neighbours (Å) after each atom.
Fractional positions:
1 Zr 0.0000 0.6719 0.1719  3 Zn 2.70-2.83, 2 Rh 2.93
2 Zr 0.0000 0.3281 0.8281  3 Zn 2.70-2.83, 2 Rh 2.93
3 Zr 0.0000 0.1719 0.3281  3 Zn 2.70-2.83, 2 Rh 2.93
4 Zr 0.0000 0.8281 0.6719  3 Zn 2.70-2.83, 2 Rh 2.93
5 Nb 0.0000 0.0000 0.0000  8 Rh 2.71
6 Nb 0.0000 0.5000 0.5000  8 Rh 2.71
7 Zn 0.0000 0.1251 0.6251  6 Rh 2.47-2.51, 1 Zr 2.70
8 Zn 0.0000 0.8749 0.3749  6 Rh 2.47-2.51, 1 Zr 2.70
9 Zn 0.0000 0.6251 0.8749  6 Rh 2.47-2.51, 1 Zr 2.70
10 Zn 0.0000 0.3749 0.1251  6 Rh 2.47-2.51, 1 Zr 2.70
11 Rh 0.5000 0.2007 0.0712  2 Zn 2.51, 2 Nb 2.71
12 Rh 0.5000 0.7993 0.9288  2 Zn 2.51, 2 Nb 2.71
13 Rh 0.5000 0.0712 0.7993  2 Zn 2.51, 2 Nb 2.71
14 Rh 0.5000 0.7007 0.4288  2 Zn 2.51, 2 Nb 2.71
15 Rh 0.5000 0.9288 0.2007  2 Zn 2.51, 2 Nb 2.71
16 Rh 0.5000 0.2993 0.5712  2 Zn 2.51, 2 Nb 2.71
17 Rh 0.5000 0.5712 0.7007  2 Zn 2.51, 2 Nb 2.71
18 Rh 0.5000 0.4288 0.2993  2 Zn 2.51, 2 Nb 2.71
19 Rh 0.5000 0.5000 0.0000  4 Zn 2.47
20 Rh 0.5000 0.0000 0.5000  4 Zn 2.47

=====

No. 5
The following is a PBE calculation of a relaxed structure of TbCeGd2, from Alexandria via LeMat-Bulk.

Output
excess energy over the best structure of this formula in the dataset	14.7	meV/atom
space-group type	P4/mmm, No. 123
D(E_F)	2.3293	states/eV/atom
E_form	78	meV/atom

Cell: 5.0439 5.0111 5.0111 Å, 90.00 90.00 90.00°
With the nearest neighbours (Å) after each atom.
Fractional positions:
1 Gd 0.0000 0.0000 0.5000  4 Gd 3.54, 4 Tb 3.55, 4 Ce 3.55
2 Gd 0.0000 0.5000 0.0000  4 Gd 3.54, 4 Tb 3.55, 4 Ce 3.55
3 Tb 0.5000 0.5000 0.5000  4 Ce 3.54, 8 Gd 3.55
4 Ce 0.5000 0.0000 0.0000  4 Tb 3.54, 8 Gd 3.55

=====

No. 6
The following is a PBE calculation of a relaxed structure of FeTeP2, from Alexandria via LeMat-Bulk.

Output
space-group type	P4/mmm, No. 123
D(E_F)	1.3408	states/eV/atom
DFT total energy	-20.872	eV for the cell shown

Cell: 3.6731 3.6635 5.2258 Å, 90.01 90.00 90.00°
With the nearest neighbours (Å) after each atom.
Fractional positions:
1 Fe 0.0000 0.0000 0.5000  4 Te 2.59, 2 P 2.61
2 P 0.0000 0.0000 0.0000  4 P 2.59, 2 Fe 2.61
3 P 0.5000 0.5000 0.0000  4 P 2.59, 2 Te 2.61
4 Te 0.5000 0.5000 0.5000  4 Fe 2.59, 2 P 2.61

=====

No. 7
The following is a PBE calculation of a relaxed structure of TbLuCu, from Alexandria via LeMat-Bulk.

Output
excess energy over the best structure of this formula in the dataset	171.6	meV/atom
space-group type	F-43m, No. 216
D(E_F)	0.9706	states/eV/atom
E_form	29	meV/atom

Cell: 4.8003 4.8003 4.8003 Å, 60.00 60.00 60.00°
With the nearest neighbours (Å) after each atom.
Fractional positions:
1 Lu 0.5000 0.5000 0.5000  4 Cu 2.94
2 Tb 0.0000 0.0000 0.0000  4 Cu 2.94
3 Cu 0.2500 0.2500 0.2500  4 Tb 2.94, 4 Lu 2.94

=====

No. 8
The following is a PBE calculation of a relaxed structure of Ho4TlInN, from Alexandria via LeMat-Bulk.

Output
space-group type	Cmcm, No. 63
D(E_F)	0.7642	states/eV/atom
DFT total energy	-73.570	eV for the cell shown

Cell: 6.6862 6.6882 8.5437 Å, 90.00 113.04 90.00°
With the nearest neighbours (Å) after each atom.
Fractional positions:
1 Ho 0.9129 0.2500 0.8257  1 N 2.57
2 Ho 0.4117 0.7500 0.8235  1 N 2.54
3 Ho 0.0871 0.7500 0.1743  1 N 2.57
4 Ho 0.5883 0.2500 0.1765  1 N 2.54
5 Ho 0.5000 0.5000 0.5000  2 N 2.36
6 Ho 0.0000 0.0000 0.5000  2 N 2.36
7 Ho 0.5000 0.0000 0.5000  2 N 2.36
8 Ho 0.0000 0.5000 0.5000  2 N 2.36
9 Tl 0.1118 0.2500 0.2237  9 Ho 3.13-3.37
10 Tl 0.8882 0.7500 0.7763  9 Ho 3.13-3.37
11 In 0.6125 0.7500 0.2249  9 Ho 3.16-3.37
12 In 0.3875 0.2500 0.7751  9 Ho 3.16-3.37
13 N 0.2504 0.7500 0.5008  6 Ho 2.36-2.57
14 N 0.7496 0.2500 0.4992  6 Ho 2.36-2.57